VASP calculation (PBE-GGA) on RbTi4Te8 after structural relaxation.

Values from the calculation:
N(E_F): 0.46 states/eV/atom
ΔE_f (raw): -0.73 eV per atom
Symmetry: No. 12
Raw total energy: -67.1 eV/cell
Distance to the lowest polymorph of the same formula: 0 kJ/mol of formula units

Geometry as CIF:
```
data_RbTi4Te8
_cell_length_a 3.8538
_cell_length_b 9.7289
_cell_length_c 10.4445
_cell_angle_alpha 82.90
_cell_angle_beta 79.37
_cell_angle_gamma 78.58
_symmetry_space_group_name_H-M 'P 1'
_symmetry_Int_Tables_number 1
_symmetry_space_group_name_Hall 'P 1'
loop_
_atom_site_label
_atom_site_fract_x
_atom_site_fract_y
_atom_site_fract_z
Rb1 0.5156 0.0017 0.9671
Ti1 0.3614 0.8368 0.4405
Ti2 0.8459 0.4988 0.8094
Ti3 0.1855 0.5047 0.1243
Ti4 0.6700 0.1666 0.4934
Te1 0.1439 0.3399 0.3722
Te2 0.5526 0.6633 0.2316
Te3 0.4788 0.3401 0.7022
Te4 0.8876 0.6633 0.5614
Te5 0.8562 0.9946 0.2930
Te6 0.2138 0.6794 0.8930
Te7 0.1752 0.0087 0.6408
Te8 0.8176 0.3241 0.0406
```